Material: Ce2InGa2Rh5
Method: DFT, PBE
State: optimized geometry

The calculation puts the energy of formation from the pure elements at -0.72 eV/atom. As for the total energy: -6.460 eV per atom. The volume is 357.8 Å³/cell.

The space group is P4/mbm (No. 127) and the conventional cell measures 9.893, 9.893 and 3.655 Å, with angles of 90.00, 90.00 and 90.00 degrees. The asymmetric unit holds Ce at (0.176, 0.324, 0.000), In at (0.000, 0.000, 0.000), Ga at (0.121, 0.621, 0.000), Rh at (0.000, 0.500, 0.500) and Rh at (0.072, 0.790, 0.500).